# La3ZrMo, relaxed, DFT PBE
data_La3ZrMo
_chemical_formula_sum 'La3 Zr1 Mo1'
_symmetry_space_group_name_H-M 'P m -3 m'
_symmetry_Int_Tables_number 221
_symmetry_space_group_name_Hall '-P 4 2 3'
_cell_length_a 5.5008
_cell_length_b 5.5008
_cell_length_c 5.5008
_cell_angle_alpha 90.00
_cell_angle_beta 90.00
_cell_angle_gamma 90.00
loop_
_atom_site_label
_atom_site_type_symbol
_atom_site_fract_x
_atom_site_fract_y
_atom_site_fract_z
La1 La 0.0000 0.0000 0.5000
Zr1 Zr 0.5000 0.5000 0.5000
Mo1 Mo 0.0000 0.0000 0.0000
# Electronic total energy, eV per cell: -31.1
# Spin magnetization, μB per formula unit: 2.2
# V, A^3/atom: 33.3
# Relative energy among the computed polymorphs, eV/atom: 0.000